Entry 1:
# PmPr3Ga4 | Alexandria via LeMat-Bulk | PBE | relaxed
# Energy relative to the elements, kJ/mol of atoms: -53
# N(E_F), states/eV/cell: 4.1
data_PmPr3Ga4
_chemical_formula_sum 'Pm1 Pr3 Ga4'
_symmetry_space_group_name_H-M 'P 1'
_symmetry_Int_Tables_number 1
_symmetry_space_group_name_Hall 'P 1'
_cell_length_a 3.712
_cell_length_b 3.712
_cell_length_c 14.851
_cell_angle_alpha 90.00
_cell_angle_beta 90.00
_cell_angle_gamma 90.00
loop_
_atom_site_label
_atom_site_type_symbol
_atom_site_fract_x
_atom_site_fract_y
_atom_site_fract_z
Pm1 Pm 0.000 0.000 0.000
Pr1 Pr 0.000 0.000 0.248
Pr2 Pr 0.000 0.000 0.500
Pr3 Pr 0.000 0.000 0.752
Ga1 Ga 0.500 0.500 0.121
Ga2 Ga 0.500 0.500 0.374
Ga3 Ga 0.500 0.500 0.626
Ga4 Ga 0.500 0.500 0.879


Entry 2:
# HoErAlPd | Alexandria via LeMat-Bulk | PBE | relaxed
# Energy relative to the elements, kJ/mol of atoms: -61
# N(E_F), states/eV/cell: 6.8
data_HoErAlPd
_chemical_formula_sum 'Ho2 Er2 Al2 Pd2'
_symmetry_space_group_name_H-M 'P 1'
_symmetry_Int_Tables_number 1
_symmetry_space_group_name_Hall 'P 1'
_cell_length_a 4.453
_cell_length_b 3.748
_cell_length_c 11.079
_cell_angle_alpha 90.00
_cell_angle_beta 90.00
_cell_angle_gamma 90.00
loop_
_atom_site_label
_atom_site_type_symbol
_atom_site_fract_x
_atom_site_fract_y
_atom_site_fract_z
Ho1 Ho 0.000 0.000 0.000
Ho2 Ho 0.000 0.500 0.500
Er1 Er 0.500 0.000 0.706
Er2 Er 0.500 0.500 0.206
Al1 Al 0.000 0.000 0.281
Al2 Al 0.000 0.500 0.781
Pd1 Pd 0.500 0.000 0.424
Pd2 Pd 0.500 0.500 0.924


Entry 3:
# TaAlCd2 | Alexandria via LeMat-Bulk | PBE | relaxed
# Energy relative to the elements, kJ/mol of atoms: 23
# N(E_F), states/eV/cell: 6.4
data_TaAlCd2
_chemical_formula_sum 'Ta2 Al2 Cd4'
_symmetry_space_group_name_H-M 'P 1'
_symmetry_Int_Tables_number 1
_symmetry_space_group_name_Hall 'P 1'
_cell_length_a 3.964
_cell_length_b 3.964
_cell_length_c 9.685
_cell_angle_alpha 90.00
_cell_angle_beta 90.00
_cell_angle_gamma 90.00
loop_
_atom_site_label
_atom_site_type_symbol
_atom_site_fract_x
_atom_site_fract_y
_atom_site_fract_z
Ta1 Ta 0.000 0.000 0.000
Ta2 Ta 0.500 0.500 0.500
Al1 Al 0.000 0.000 0.500
Al2 Al 0.500 0.500 0.000
Cd1 Cd 0.000 0.500 0.250
Cd2 Cd 0.000 0.500 0.750
Cd3 Cd 0.500 0.000 0.250
Cd4 Cd 0.500 0.000 0.750


Entry 4:
# K2HfIr | Alexandria via LeMat-Bulk | PBE | relaxed
# Energy relative to the elements, kJ/mol of atoms: 159
# N(E_F), states/eV/cell: 18.2
data_K2HfIr
_chemical_formula_sum 'K8 Hf4 Ir4'
_symmetry_space_group_name_H-M 'P 1'
_symmetry_Int_Tables_number 1
_symmetry_space_group_name_Hall 'P 1'
_cell_length_a 7.494
_cell_length_b 7.494
_cell_length_c 7.494
_cell_angle_alpha 90.00
_cell_angle_beta 90.00
_cell_angle_gamma 90.00
loop_
_atom_site_label
_atom_site_type_symbol
_atom_site_fract_x
_atom_site_fract_y
_atom_site_fract_z
K1 K 0.250 0.250 0.250
K2 K 0.250 0.250 0.750
K3 K 0.250 0.750 0.250
K4 K 0.250 0.750 0.750
K5 K 0.750 0.250 0.250
K6 K 0.750 0.250 0.750
K7 K 0.750 0.750 0.250
K8 K 0.750 0.750 0.750
Hf1 Hf 0.000 0.000 0.000
Hf2 Hf 0.000 0.500 0.500
Hf3 Hf 0.500 0.000 0.500
Hf4 Hf 0.500 0.500 0.000
Ir1 Ir 0.000 0.000 0.500
Ir2 Ir 0.000 0.500 0.000
Ir3 Ir 0.500 0.000 0.000
Ir4 Ir 0.500 0.500 0.500


Entry 5:
# HfAsCl3 | Alexandria via LeMat-Bulk | PBE | relaxed
# E_form (uncorrected), eV/atom: -0.552
# N(E_F), states/eV/cell: 2.2
data_HfAsCl3
_chemical_formula_sum 'Hf1 As1 Cl3'
_symmetry_space_group_name_H-M 'P 1'
_symmetry_Int_Tables_number 1
_symmetry_space_group_name_Hall 'P 1'
_cell_length_a 5.039
_cell_length_b 5.039
_cell_length_c 5.039
_cell_angle_alpha 90.00
_cell_angle_beta 90.00
_cell_angle_gamma 90.00
loop_
_atom_site_label
_atom_site_type_symbol
_atom_site_fract_x
_atom_site_fract_y
_atom_site_fract_z
Hf1 Hf 0.000 0.000 0.000
As1 As 0.500 0.500 0.500
Cl1 Cl 0.000 0.000 0.500
Cl2 Cl 0.000 0.500 0.000
Cl3 Cl 0.500 0.000 0.000


Entry 6:
# LiDy2BPd6 | Alexandria via LeMat-Bulk | PBE | relaxed
# Energy relative to the elements, kJ/mol of atoms: -61
# N(E_F), states/eV/cell: 3.5
data_LiDy2BPd6
_chemical_formula_sum 'Li1 Dy2 B1 Pd6'
_symmetry_space_group_name_H-M 'P 1'
_symmetry_Int_Tables_number 1
_symmetry_space_group_name_Hall 'P 1'
_cell_length_a 5.724
_cell_length_b 5.724
_cell_length_c 6.919
_cell_angle_alpha 114.42
_cell_angle_beta 114.42
_cell_angle_gamma 59.89
loop_
_atom_site_label
_atom_site_type_symbol
_atom_site_fract_x
_atom_site_fract_y
_atom_site_fract_z
Li1 Li 0.000 0.000 0.000
Dy1 Dy 0.278 0.278 0.834
Dy2 Dy 0.722 0.722 0.166
B1 B 0.500 0.500 0.500
Pd1 Pd 0.228 0.736 0.702
Pd2 Pd 0.263 0.263 0.298
Pd3 Pd 0.264 0.772 0.298
Pd4 Pd 0.736 0.228 0.702
Pd5 Pd 0.737 0.737 0.702
Pd6 Pd 0.772 0.264 0.298


Entry 7:
# KOsPt | Alexandria via LeMat-Bulk | PBE | relaxed
# Energy relative to the elements, kJ/mol of atoms: 78
# N(E_F), states/eV/cell: 3.6
data_KOsPt
_chemical_formula_sum 'K1 Os1 Pt1'
_symmetry_space_group_name_H-M 'P 1'
_symmetry_Int_Tables_number 1
_symmetry_space_group_name_Hall 'P 1'
_cell_length_a 2.817
_cell_length_b 2.817
_cell_length_c 8.036
_cell_angle_alpha 90.00
_cell_angle_beta 90.00
_cell_angle_gamma 120.00
loop_
_atom_site_label
_atom_site_type_symbol
_atom_site_fract_x
_atom_site_fract_y
_atom_site_fract_z
K1 K 0.000 0.000 0.000
Os1 Os 0.667 0.333 0.368
Pt1 Pt 0.333 0.667 0.641


Entry 8:
# Cs2BaNa6 | Alexandria via LeMat-Bulk | PBE | relaxed
# Energy relative to the elements, kJ/mol of atoms: 3
# N(E_F), states/eV/cell: 5.7
data_Cs2BaNa6
_chemical_formula_sum 'Cs2 Ba1 Na6'
_symmetry_space_group_name_H-M 'P 1'
_symmetry_Int_Tables_number 1
_symmetry_space_group_name_Hall 'P 1'
_cell_length_a 11.216
_cell_length_b 11.216
_cell_length_c 4.522
_cell_angle_alpha 90.13
_cell_angle_beta 90.13
_cell_angle_gamma 60.06
loop_
_atom_site_label
_atom_site_type_symbol
_atom_site_fract_x
_atom_site_fract_y
_atom_site_fract_z
Cs1 Cs 0.166 0.166 0.000
Cs2 Cs 0.834 0.834 0.000
Ba1 Ba 0.500 0.500 0.000
Na1 Na 0.182 0.499 0.499
Na2 Na 0.183 0.817 0.500
Na3 Na 0.499 0.182 0.499
Na4 Na 0.501 0.818 0.501
Na5 Na 0.817 0.183 0.500
Na6 Na 0.818 0.501 0.501